Computed, not measured: crystalline NiAsNF2 at its relaxed geometry at the GGA+U level of DFT.

Lattice parameters (Å, degrees): 4.221 4.221 3.702 90.00 90.00 90.00
Space group P4/mmm (No. 123)
One atom of each set of equivalent atoms:
Ni (0.000, 0.000, 0.000) (multiplicity 1)
As (0.500, 0.500, 0.500) (multiplicity 1)
N (0.500, 0.500, 0.000) (multiplicity 1)
F (0.000, 0.500, 0.500) (multiplicity 2)

Values from the calculation:
Its distance to the lowest polymorph of the same formula is 25 kJ/mol of formula units. Its energy is -4.017 eV/atom.